1.
Density functional theory data (PBE) for a geometry-optimized LaYTi structure.

E_form	0.096	eV/atom

CIF file:
```
data_LaYTi
_chemical_formula_sum 'La2 Y2 Ti2'
_cell_length_a 3.6096
_cell_length_b 3.5891
_cell_length_c 13.2551
_cell_angle_alpha 90.00
_cell_angle_beta 90.09
_cell_angle_gamma 90.00
_symmetry_space_group_name_H-M 'P 1 21/m 1'
_symmetry_Int_Tables_number 11
_symmetry_space_group_name_Hall '-P 2yb'
loop_
_atom_site_label
_atom_site_fract_x
_atom_site_fract_y
_atom_site_fract_z
_atom_site_occupancy
La1 0.2489 0.2500 0.4006 1
Y1 0.2503 0.2500 0.8096 1
Ti1 0.2500 0.2500 0.0415 1
```

---

2.
Density functional theory data (PBE) for a geometry-optimized Nb2WC structure.

E_form	-0.154	eV/atom

CIF file:
```
data_Nb2WC
_chemical_formula_sum 'Nb6 W3 C3'
_cell_length_a 3.0876
_cell_length_b 3.0876
_cell_length_c 21.4584
_cell_angle_alpha 90.00
_cell_angle_beta 90.00
_cell_angle_gamma 120.00
_symmetry_space_group_name_H-M 'R -3 m'
_symmetry_Int_Tables_number 166
_symmetry_space_group_name_Hall '-R 3 2"'
loop_
_atom_site_label
_atom_site_fract_x
_atom_site_fract_y
_atom_site_fract_z
_atom_site_occupancy
Nb1 0.0000 0.0000 0.2267 1
W1 0.0000 0.0000 0.0000 1
C1 0.0000 0.0000 0.5000 1
```

---

3.
Density functional theory data (PBE) for a geometry-optimized HfMn2Fe3 structure.

E_form	-0.003	eV/atom

CIF file:
```
data_HfMn2Fe3
_chemical_formula_sum 'Hf1 Mn2 Fe3'
_cell_length_a 4.7985
_cell_length_b 4.7985
_cell_length_c 3.9546
_cell_angle_alpha 90.00
_cell_angle_beta 90.00
_cell_angle_gamma 120.00
_symmetry_space_group_name_H-M 'P 6/m m m'
_symmetry_Int_Tables_number 191
_symmetry_space_group_name_Hall '-P 6 2'
loop_
_atom_site_label
_atom_site_fract_x
_atom_site_fract_y
_atom_site_fract_z
_atom_site_occupancy
Hf1 0.0000 0.0000 0.0000 1
Mn1 0.3333 0.6667 0.0000 1
Fe1 0.0000 0.5000 0.5000 1
```

---

4.
Density functional theory data (PBE) for a geometry-optimized LiCuSiTc structure.

formation energy without anion corrections	-0.163	eV per atom

CIF file:
```
data_LiCuSiTc
_chemical_formula_sum 'Li4 Cu4 Si4 Tc4'
_cell_length_a 5.7928
_cell_length_b 5.7928
_cell_length_c 5.7928
_cell_angle_alpha 90.00
_cell_angle_beta 90.00
_cell_angle_gamma 90.00
_symmetry_space_group_name_H-M 'F -4 3 m'
_symmetry_Int_Tables_number 216
_symmetry_space_group_name_Hall 'F -4 2 3'
loop_
_atom_site_label
_atom_site_fract_x
_atom_site_fract_y
_atom_site_fract_z
_atom_site_occupancy
Li1 0.0000 0.0000 0.0000 1
Cu1 0.2500 0.2500 0.2500 1
Si1 0.0000 0.0000 0.5000 1
Tc1 0.2500 0.2500 0.7500 1
```

---

5.
Density functional theory data (PBE) for a geometry-optimized Ho4BiRh2 structure.

E_form	-0.701	eV/atom

CIF file:
```
data_Ho4BiRh2
_chemical_formula_sum 'Ho16 Bi4 Rh8'
_cell_length_a 8.6033
_cell_length_b 14.8730
_cell_length_c 6.9255
_cell_angle_alpha 90.00
_cell_angle_beta 127.72
_cell_angle_gamma 90.00
_symmetry_space_group_name_H-M 'C 1 c 1'
_symmetry_Int_Tables_number 9
_symmetry_space_group_name_Hall 'C -2yc'
loop_
_atom_site_label
_atom_site_fract_x
_atom_site_fract_y
_atom_site_fract_z
_atom_site_occupancy
Ho1 0.0000 0.0046 0.0000 1
Ho2 0.0090 0.4189 0.3458 1
Ho3 0.0836 0.2183 0.6648 1
Ho4 0.2325 0.2077 0.2891 1
Bi1 0.1667 0.3849 0.9950 1
Rh1 0.2932 0.0804 0.0084 1
Rh2 0.3759 0.3329 0.6838 1
```

---

6.
Density functional theory data (PBE) for a geometry-optimized Pr2ZnNi6H structure.

CIF file:
```
data_Pr2ZnNi6H
_chemical_formula_sum 'Pr4 Zn2 Ni12 H2'
_cell_length_a 9.2668
_cell_length_b 5.3443
_cell_length_c 6.6128
_cell_angle_alpha 90.00
_cell_angle_beta 117.81
_cell_angle_gamma 90.00
_symmetry_space_group_name_H-M 'C 1 2/m 1'
_symmetry_Int_Tables_number 12
_symmetry_space_group_name_Hall '-C 2y'
loop_
_atom_site_label
_atom_site_fract_x
_atom_site_fract_y
_atom_site_fract_z
_atom_site_occupancy
Pr1 0.2231 0.0000 0.1696 1
Zn1 0.0000 0.5000 0.0000 1
Ni1 0.0331 0.2597 0.3402 1
Ni2 0.2268 0.0000 0.6591 1
H1 0.0000 0.0000 0.5000 1
```

---

E readings, ordered: -6.333; -10.733; -8.950; -5.613; -5.972; -5.121 eV/atom